A plane-wave DFT calculation with PBEsol was carried out for HfInPd3 after structural relaxation.

Its total magnetization is 0.00 μB/cell. The energy relative to the elements comes out at 0.508 eV per atom.

The space group is Pm-3m (No. 221) and the conventional cell measures 4.8277, 4.8277 and 4.8277 Å, with angles of 90.00, 90.00 and 90.00 degrees. The distinct sites, in fractional coordinates, are Hf at (0.0000, 0.0000, 0.0000), In at (0.5000, 0.5000, 0.5000) and Pd at (0.0000, 0.0000, 0.5000).

=====

A plane-wave DFT calculation with PBEsol was carried out for InWSe after structural relaxation.

Its total magnetization is 0.00 μB/cell. As for the formation energy from raw total energies: 191 meV per atom.

The space group is I4mm (No. 107) and the conventional cell measures 3.0453, 3.0453 and 12.4866 Å, with angles of 90.00, 90.00 and 90.00 degrees. The distinct sites, in fractional coordinates, are In at (0.0000, 0.0000, 0.0000), W at (0.0000, 0.0000, 0.3325) and Se at (0.0000, 0.0000, 0.7209).